Entry i
Compound: MnRuS2
Source: Alexandria
Functional: PBE
Structure: optimized geometry

Calculated values
Magnetization = 0.00 μB per atom
Space group = No. 122
D(E_F) = 0.4967 states/eV per atom

```
MnRuS2
1.0
5.095 0.000 0.000
0.000 5.095 0.000
2.548 2.548 5.064
Ru S Mn
2 4 2
Cartesian
0.000 0.000 0.000
5.095 2.548 2.532
3.723 1.274 1.266
1.372 3.821 1.266
3.821 3.919 3.798
6.369 6.271 3.798
2.548 2.548 0.000
2.548 5.095 2.532
```

=====

Entry ii
Compound: MnRuS2
Source: Alexandria
Functional: PBE
Structure: optimized geometry

Calculated values
Magnetization = 0.37 μB per atom
Space group = No. 166
D(E_F) = 0.6467 states/eV per atom

```
MnRuS2
1.0
-3.884 3.690 5.402
-1.285 3.124 6.817
-1.524 5.521 5.008
Ru S Mn
1 2 1
Cartesian
0.000 0.000 0.000
-6.017 11.088 15.487
-0.676 1.246 1.741
-3.347 6.167 8.614
```

=====

Ordering by calculated energy gives the sequence entry i, entry ii, with the first entry being the most stable.

=====

Entry i
Compound: MnSb2Ru
Source: Alexandria
Functional: PBE
Structure: optimized geometry

Calculated values
Magnetization = 0.83 μB per atom
Space group = No. 166
D(E_F) = 0.6899 states/eV per atom

```
MnSb2Ru
1.0
-5.646 2.334 -5.778
-3.703 0.412 -7.539
-6.080 -0.888 -5.741
Mn Ru Sb
1 1 2
Cartesian
-3.857 0.465 -4.764
-11.572 1.394 -14.293
-0.038 0.005 -0.047
-7.676 0.925 -9.481
```

=====

Entry ii
Compound: MnSb2Ru
Source: Alexandria
Functional: PBE
Structure: optimized geometry

Calculated values
Magnetization = 1.19 μB per atom
Space group = No. 216
D(E_F) = 0.5412 states/eV per atom

```
MnSb2Ru
1.0
-3.785 2.522 1.489
-2.910 -1.802 3.345
-0.041 1.880 4.401
Mn Ru Sb
1 1 2
Cartesian
-3.368 1.300 4.617
-1.684 0.650 2.309
0.000 0.000 0.000
-5.052 1.950 6.926
```

=====

Entry iii
Compound: MnSb2Ru
Source: Alexandria
Functional: PBE
Structure: optimized geometry

Calculated values
Magnetization = 0.84 μB per atom
Space group = No. 160
D(E_F) = 0.4811 states/eV per atom

```
MnSb2Ru
1.0
-2.736 8.753 -4.586
-3.878 6.709 -6.714
-5.611 7.492 -4.185
Mn Ru Sb
1 1 2
Cartesian
-5.971 11.211 -7.563
-9.276 17.417 -11.749
-0.324 0.608 -0.410
-2.767 5.195 -3.505
```

=====

Ordering by calculated energy gives the sequence entry i, entry iii, entry ii, with the first entry being the most stable.

=====

Entry i
Compound: MnSb2Ru
Source: Alexandria
Functional: PBE
Structure: optimized geometry

Calculated values
Magnetization = 0.01 μB per atom
Space group = No. 122
D(E_F) = 1.0316 states/eV per atom

```
MnSb2Ru
1.0
4.860 0.000 0.000
0.000 4.860 0.000
2.430 2.430 7.411
Sb Mn Ru
4 2 2
Cartesian
3.574 1.215 1.853
1.287 3.645 1.853
3.645 3.717 5.558
6.076 6.004 5.558
2.430 2.430 0.000
2.430 4.860 3.705
0.000 0.000 0.000
4.860 2.430 3.705
```

=====

Entry ii
Compound: MnSb2Ru
Source: Alexandria
Functional: PBE
Structure: optimized geometry

Calculated values
Magnetization = 0.76 μB per atom
Space group = No. 25
D(E_F) = 0.6502 states/eV per atom

```
MnSb2Ru
1.0
3.501 0.000 0.000
0.000 3.835 0.000
0.000 0.000 5.543
Mn Ru Sb
1 1 2
Cartesian
0.000 0.000 2.520
1.750 1.917 4.391
0.000 0.000 5.231
1.750 1.917 1.714
```

=====

Entry iii
Compound: MnSb2Ru
Source: Alexandria
Functional: PBE
Structure: optimized geometry

Calculated values
Magnetization = 0.79 μB per atom
Space group = No. 38
D(E_F) = 0.7752 states/eV per atom

```
MnSb2Ru
1.0
-3.826 2.076 -0.218
-0.376 -1.028 -3.187
-2.552 -4.700 0.036
Mn Ru Sb
1 1 2
Cartesian
-1.449 -2.905 -2.232
-4.115 -3.201 -1.823
-2.702 -5.304 -3.092
-2.881 -0.834 -0.949
```

=====

Ordering by calculated energy gives the sequence entry iii, entry ii, entry i, with the first entry being the most stable.

=====

Entry i
Compound: ScMn3Ru
Source: Alexandria
Functional: PBE
Structure: optimized geometry

Calculated values
Magnetization = 0.00 μB per atom
Space group = No. 221
D(E_F) = 2.3862 states/eV per atom

```
ScMn3Ru
1.0
-4.055 -0.998 0.406
0.635 -3.491 -2.239
0.871 -2.102 3.525
Sc Ru Mn
1 1 3
Cartesian
0.000 0.000 0.000
-1.275 -3.296 0.846
0.318 -1.746 -1.119
0.435 -1.051 1.763
-2.028 -0.499 0.203
```

=====

Entry ii
Compound: ScMn3Ru
Source: Alexandria
Functional: PBE
Structure: optimized geometry

Calculated values
Magnetization = 2.09 μB per atom
Space group = No. 221
D(E_F) = 1.4193 states/eV per atom

```
ScMn3Ru
1.0
4.664 0.000 0.000
0.000 4.664 0.000
0.000 0.000 4.664
Sc Ru Mn
1 1 3
Cartesian
2.332 2.332 2.332
0.000 0.000 0.000
0.000 2.332 0.000
0.000 0.000 2.332
2.332 0.000 0.000
```

=====

Ordering by calculated energy gives the sequence entry ii, entry i, with the first entry being the most stable.

=====

Entry i
Compound: ScMn2Ru2
Source: Alexandria
Functional: PBE
Structure: optimized geometry

Calculated values
Magnetization = 0.33 μB per atom
Space group = No. 127
D(E_F) = 1.2357 states/eV per atom

```
ScMn2Ru2
1.0
-0.355 2.277 -6.802
6.326 -3.111 -1.372
-1.293 -2.318 -0.708
Sc Ru Mn
2 4 4
Cartesian
0.000 0.000 0.000
2.986 -0.417 -4.087
3.565 -2.861 -2.475
4.329 -2.185 -6.080
1.113 -0.291 -6.407
0.349 -0.966 -2.802
5.463 -1.877 -3.834
3.575 0.103 -6.864
0.508 1.043 -4.339
2.396 -0.937 -1.309
```

=====

Entry ii
Compound: ScMn2Ru2
Source: Alexandria
Functional: PBE
Structure: optimized geometry

Calculated values
Magnetization = 1.03 μB per atom
Space group = No. 139
D(E_F) = 1.0241 states/eV per atom

```
ScMn2Ru2
1.0
-0.107 2.699 2.834
-3.761 0.712 -0.821
-3.407 -2.032 4.511
Sc Ru Mn
1 2 2
Cartesian
0.000 0.000 0.000
-2.262 0.873 1.787
-5.014 0.506 4.737
-2.725 1.187 4.175
-4.551 0.193 2.348
```

=====

Ordering by calculated energy gives the sequence entry i, entry ii, with the first entry being the most stable.

=====

Entry i
Compound: MnRuSe2
Source: Alexandria
Functional: PBE
Structure: optimized geometry

Calculated values
Magnetization = 0.66 μB per atom
Space group = No. 99
D(E_F) = 0.6416 states/eV per atom

```
MnRuSe2
1.0
-0.649 2.479 -2.233
-2.020 -2.104 -1.748
-5.218 1.952 3.682
Mn Ru Se
1 1 2
Cartesian
-2.650 0.991 1.870
-5.196 1.632 0.734
-4.603 1.722 3.248
-3.266 0.910 -0.628
```

=====

Entry ii
Compound: MnRuSe2
Source: Alexandria
Functional: PBE
Structure: optimized geometry

Calculated values
Magnetization = 0.92 μB per atom
Space group = No. 123
D(E_F) = 0.8053 states/eV per atom

```
MnRuSe2
1.0
4.460 -0.004 0.005
0.004 4.460 0.005
-0.003 -0.003 3.139
Mn Ru Se
1 1 2
Cartesian
2.228 -0.004 1.572
0.000 2.228 1.572
0.000 0.000 0.000
2.232 2.228 0.005
```

=====

Ordering by calculated energy gives the sequence entry i, entry ii, with the first entry being the most stable.

=====

Entry i
Compound: MnRuSe
Source: Alexandria
Functional: PBE
Structure: optimized geometry

Calculated values
Magnetization = 1.14 μB per atom
Space group = No. 187
D(E_F) = 0.6679 states/eV per atom

```
MnRuSe
1.0
-1.245 3.574 1.707
-2.797 -2.879 -1.060
0.234 -1.267 2.824
Mn Ru Se
1 1 1
Cartesian
0.000 0.000 0.000
-1.645 0.789 2.196
-2.162 -1.362 1.274
```

=====

Entry ii
Compound: MnRuSe
Source: Alexandria
Functional: PBE
Structure: optimized geometry

Calculated values
Magnetization = 0.47 μB per atom
Space group = No. 160
D(E_F) = 0.7745 states/eV per atom

```
MnRuSe
1.0
-2.429 -0.928 -2.840
-2.143 -3.188 0.260
-7.930 3.260 3.109
Ru Mn Se
2 2 2
Cartesian
-3.909 -2.823 -1.699
-1.981 0.731 0.716
-5.706 -1.525 -0.586
-8.100 2.683 2.704
-4.893 0.359 0.713
-8.916 0.801 1.407
```

=====

Entry iii
Compound: MnRuSe
Source: Alexandria
Functional: PBE
Structure: optimized geometry

Calculated values
Magnetization = 0.99 μB per atom
Space group = No. 216
D(E_F) = 0.3606 states/eV per atom

```
MnRuSe
1.0
-0.228 0.828 -4.052
2.425 -2.037 -2.670
-1.650 -2.778 -2.592
Mn Ru Se
1 1 1
Cartesian
0.273 -1.993 -4.657
0.410 -2.990 -6.985
0.000 0.000 0.000
```

=====

Ordering by calculated energy gives the sequence entry iii, entry ii, entry i, with the first entry being the most stable.

=====

Entry i
Compound: MnRu3Se
Source: Alexandria
Functional: PBE
Structure: optimized geometry

Calculated values
Magnetization = 0.00 μB per atom
Space group = No. 221
D(E_F) = 1.6617 states/eV per atom

```
MnRu3Se
1.0
-3.801 -2.056 -0.968
1.164 -0.141 -4.271
1.952 -3.920 0.661
Ru Mn Se
3 1 1
Cartesian
0.582 -0.070 -2.135
0.976 -1.960 0.331
-1.901 -1.028 -0.484
0.000 0.000 0.000
-0.343 -3.058 -2.289
```

=====

Entry ii
Compound: MnRu3Se
Source: Alexandria
Functional: PBE
Structure: optimized geometry

Calculated values
Magnetization = 0.01 μB per atom
Space group = No. 221
D(E_F) = 2.2325 states/eV per atom

```
MnRu3Se
1.0
4.469 0.000 0.000
0.000 4.469 0.000
0.000 0.000 4.469
Ru Mn Se
3 1 1
Cartesian
0.000 2.234 0.000
0.000 0.000 2.234
2.234 0.000 0.000
2.234 2.234 2.234
0.000 0.000 0.000
```

=====

Ordering by calculated energy gives the sequence entry i, entry ii, with the first entry being the most stable.

=====

Entry i
Compound: Mn3RuSe
Source: Alexandria
Functional: PBE
Structure: optimized geometry

Calculated values
Magnetization = 0.00 μB per atom
Space group = No. 221
D(E_F) = 2.6312 states/eV per atom

```
Mn3RuSe
1.0
4.229 0.000 0.000
0.000 4.229 0.000
0.000 0.000 4.229
Ru Mn Se
1 3 1
Cartesian
2.115 2.115 2.115
0.000 2.115 0.000
0.000 0.000 2.115
2.115 0.000 0.000
0.000 0.000 0.000
```

=====

Entry ii
Compound: Mn3RuSe
Source: Alexandria
Functional: PBE
Structure: optimized geometry

Calculated values
Magnetization = 2.48 μB per atom
Space group = No. 221
D(E_F) = 1.4306 states/eV per atom

```
Mn3RuSe
1.0
-0.948 -3.005 -3.550
-1.617 -3.184 3.127
-4.361 1.834 -0.387
Ru Mn Se
1 3 1
Cartesian
0.000 0.000 0.000
-0.808 -1.592 1.563
-2.180 0.917 -0.194
-0.474 -1.502 -1.775
-3.463 -2.177 -0.405
```

=====

Ordering by calculated energy gives the sequence entry ii, entry i, with the first entry being the most stable.

=====

Entry i
Compound: Mn3SiRu
Source: Alexandria
Functional: PBE
Structure: optimized geometry

Calculated values
Magnetization = 2.37 μB per atom
Space group = No. 221
D(E_F) = 1.1168 states/eV per atom

```
Mn3SiRu
1.0
-2.866 3.015 -2.160
-2.759 -3.558 -1.306
-2.480 0.473 3.950
Ru Si Mn
1 1 3
Cartesian
0.000 0.000 0.000
-4.052 -0.035 0.242
-1.379 -1.779 -0.653
-1.240 0.236 1.975
-1.433 1.508 -1.080
```

=====

Entry ii
Compound: Mn3SiRu
Source: Alexandria
Functional: PBE
Structure: optimized geometry

Calculated values
Magnetization = 0.00 μB per atom
Space group = No. 221
D(E_F) = 2.0635 states/eV per atom

```
Mn3SiRu
1.0
-0.146 -3.969 -0.997
4.061 -0.019 -0.522
0.501 -1.008 3.937
Ru Si Mn
1 1 3
Cartesian
2.208 -2.498 1.209
0.000 0.000 0.000
2.031 -0.009 -0.261
0.251 -0.504 1.969
-0.073 -1.984 -0.499
```

=====

Ordering by calculated energy gives the sequence entry ii, entry i, with the first entry being the most stable.

=====

Entry i
Compound: Mn2Sn2Ru
Source: Alexandria
Functional: PBE
Structure: optimized geometry

Calculated values
Magnetization = 0.86 μB per atom
Space group = No. 127
D(E_F) = 0.8791 states/eV per atom

```
Mn2Sn2Ru
1.0
-5.871 1.061 -2.551
-0.288 -6.193 -1.914
-1.678 -0.988 3.452
Ru Mn Sn
2 4 4
Cartesian
0.000 0.000 0.000
-3.080 -2.566 -2.232
-2.473 -5.037 -2.645
-5.335 -2.920 -3.430
-3.686 -0.095 -1.820
-0.825 -2.212 -1.035
-2.099 -4.520 -0.040
-5.074 -4.843 -1.579
-5.739 -1.600 -0.973
-2.764 -1.278 0.566
```

=====

Entry ii
Compound: Mn2Sn2Ru
Source: Alexandria
Functional: PBE
Structure: optimized geometry

Calculated values
Magnetization = 0.52 μB per atom
Space group = No. 139
D(E_F) = 0.8196 states/eV per atom

```
Mn2Sn2Ru
1.0
-4.905 -0.162 -0.497
-0.340 -2.569 4.198
-2.919 1.779 3.750
Ru Mn Sn
1 2 2
Cartesian
0.000 0.000 0.000
-2.702 -0.527 2.357
-5.463 -0.424 5.095
-5.223 0.126 2.552
-2.941 -1.078 4.899
```

=====

Ordering by calculated energy gives the sequence entry i, entry ii, with the first entry being the most stable.

=====

Entry i
Compound: SrMnRu2
Source: Alexandria
Functional: PBE
Structure: optimized geometry

Calculated values
Magnetization = 0.50 μB per atom
Space group = No. 123
D(E_F) = 1.1358 states/eV per atom

```
SrMnRu2
1.0
3.101 0.009 0.000
-0.008 3.101 0.000
0.000 0.000 7.410
Mn Ru Sr
1 2 1
Cartesian
1.546 1.555 5.557
0.000 0.000 6.908
0.000 0.000 4.207
1.546 1.555 1.852
```

=====

Entry ii
Compound: SrMnRu2
Source: Alexandria
Functional: PBE
Structure: optimized geometry

Calculated values
Magnetization = 0.82 μB per atom
Space group = No. 166
D(E_F) = 1.2212 states/eV per atom

```
SrMnRu2
1.0
-3.059 -8.108 3.018
-0.170 -8.382 3.731
-2.042 -6.982 5.592
Mn Ru Sr
1 2 1
Cartesian
-3.954 -17.604 9.256
-0.071 -0.317 0.167
-2.565 -11.419 6.004
-1.318 -5.868 3.085
```

=====

Entry iii
Compound: SrMnRu2
Source: Alexandria
Functional: PBE
Structure: optimized geometry

Calculated values
Magnetization = 0.99 μB per atom
Space group = No. 25
D(E_F) = 1.0721 states/eV per atom

```
SrMnRu2
1.0
2.948 0.000 0.000
0.000 3.635 0.000
0.000 0.000 7.282
Mn Ru Sr
1 2 1
Cartesian
1.474 1.817 6.029
0.000 0.000 0.093
1.474 1.817 1.240
0.000 0.000 3.561
```

=====

Entry iv
Compound: SrMnRu2
Source: Alexandria
Functional: PBE
Structure: optimized geometry

Calculated values
Magnetization = 0.82 μB per atom
Space group = No. 6
D(E_F) = 1.3005 states/eV per atom

```
SrMnRu2
1.0
4.269 0.000 0.000
0.000 2.934 0.006
0.000 1.447 6.211
Mn Ru Sr
1 2 1
Cartesian
2.134 3.831 5.105
0.000 2.394 0.159
2.134 0.916 0.928
0.000 2.364 3.141
```

=====

Ordering by calculated energy gives the sequence entry i, entry iii, entry iv, entry ii, with the first entry being the most stable.